The following is a PBEsol calculation of a relaxed structure of NiTeS2, from Alexandria.

a b c (Å): 4.030 4.030 20.689
angles (deg): 90.00 90.00 120.00
Fractional coordinates of all 12 atoms:
Ni 0.000 0.000 0.000
Ni 0.333 0.667 0.667
Ni 0.667 0.333 0.333
Te 0.000 0.000 0.500
Te 0.333 0.667 0.167
Te 0.667 0.333 0.833
S 0.000 0.000 0.098
S 0.000 0.000 0.902
S 0.333 0.667 0.568
S 0.333 0.667 0.765
S 0.667 0.333 0.235
S 0.667 0.333 0.432

DFT total energy (eV/atom): -4.30
DOS at the Fermi energy (states/eV/cell): 18.01
Raw formation energy (meV per atom): 314
SG: R-3m (166)


The following is a PBEsol calculation of a relaxed structure of NiTe3S, from Alexandria.

a b c (Å): 4.914 4.914 4.914
angles (deg): 90.00 90.00 90.00
Fractional coordinates of all 5 atoms:
Ni 0.000 0.000 0.000
Te 0.000 0.000 0.500
Te 0.000 0.500 0.000
Te 0.500 0.000 0.000
S 0.500 0.500 0.500

DFT total energy (eV/atom): -3.74
DOS at the Fermi energy (states/eV/cell): 5.12
Raw formation energy (meV per atom): 482
SG: Pm-3m (221)


The following is a PBEsol calculation of a relaxed structure of Ti4NiS8, from Alexandria.

a b c (Å): 6.469 6.469 7.953
angles (deg): 126.14 126.14 62.29
Fractional coordinates of all 13 atoms:
Ti 0.242 0.242 0.496
Ti 0.244 0.756 0.000
Ti 0.756 0.244 0.000
Ti 0.758 0.758 0.504
Ni 0.500 0.500 0.500
S 0.049 0.049 0.833
S 0.049 0.545 0.332
S 0.455 0.951 0.668
S 0.458 0.458 0.170
S 0.542 0.542 0.830
S 0.545 0.049 0.332
S 0.951 0.455 0.668
S 0.951 0.951 0.167

DFT total energy (eV/atom): -7.03
DOS at the Fermi energy (states/eV/cell): 3.62
Raw formation energy (meV per atom): -1301
SG: C2/m (12)


The following is a PBEsol calculation of a relaxed structure of Tl3NiS, from Alexandria.

a b c (Å): 5.339 5.339 5.339
angles (deg): 90.00 90.00 90.00
Fractional coordinates of all 5 atoms:
Tl 0.000 0.000 0.500
Tl 0.000 0.500 0.000
Tl 0.500 0.000 0.000
Ni 0.500 0.500 0.500
S 0.000 0.000 0.000

DFT total energy (eV/atom): -2.81
DOS at the Fermi energy (states/eV/cell): 10.23
Raw formation energy (meV per atom): 876
SG: Pm-3m (221)


The following is a PBEsol calculation of a relaxed structure of Tl2NiS, from Alexandria.

a b c (Å): 6.895 6.895 6.895
angles (deg): 90.00 90.00 90.00
Fractional coordinates of all 16 atoms:
Tl 0.250 0.250 0.250
Tl 0.250 0.250 0.750
Tl 0.250 0.750 0.250
Tl 0.250 0.750 0.750
Tl 0.750 0.250 0.250
Tl 0.750 0.250 0.750
Tl 0.750 0.750 0.250
Tl 0.750 0.750 0.750
Ni 0.000 0.000 0.000
Ni 0.000 0.500 0.500
Ni 0.500 0.000 0.500
Ni 0.500 0.500 0.000
S 0.000 0.000 0.500
S 0.000 0.500 0.000
S 0.500 0.000 0.000
S 0.500 0.500 0.500

DFT total energy (eV/atom): -3.47
DOS at the Fermi energy (states/eV/cell): 18.77
Raw formation energy (meV per atom): 482
SG: Fm-3m (225)


The following is a PBEsol calculation of a relaxed structure of Tl2Ni3S2, from Alexandria.

a b c (Å): 5.528 5.528 5.528
angles (deg): 58.63 58.63 58.63
Fractional coordinates of all 7 atoms:
Tl 0.000 0.000 0.000
Tl 0.500 0.500 0.500
Ni 0.000 0.500 0.500
Ni 0.500 0.000 0.500
Ni 0.500 0.500 0.000
S 0.226 0.226 0.226
S 0.774 0.774 0.774

DFT total energy (eV/atom): -4.97
DOS at the Fermi energy (states/eV/cell): 4.54
Raw formation energy (meV per atom): -329
SG: R-3m (166)


The following is a PBEsol calculation of a relaxed structure of TlNiS3, from Alexandria.

a b c (Å): 4.502 4.502 4.502
angles (deg): 90.00 90.00 90.00
Fractional coordinates of all 5 atoms:
Tl 0.000 0.000 0.000
Ni 0.500 0.500 0.500
S 0.000 0.500 0.500
S 0.500 0.000 0.500
S 0.500 0.500 0.000

DFT total energy (eV/atom): -4.23
DOS at the Fermi energy (states/eV/cell): 6.96
Raw formation energy (meV per atom): 156
SG: Pm-3m (221)


The following is a PBEsol calculation of a relaxed structure of TlNi3S, from Alexandria.

a b c (Å): 4.659 4.659 4.659
angles (deg): 90.00 90.00 90.00
Fractional coordinates of all 5 atoms:
Tl 0.000 0.000 0.000
Ni 0.000 0.000 0.500
Ni 0.000 0.500 0.000
Ni 0.500 0.000 0.000
S 0.500 0.500 0.500

DFT total energy (eV/atom): -3.52
DOS at the Fermi energy (states/eV/cell): 10.63
Raw formation energy (meV per atom): 1576
SG: Pm-3m (221)